Here is crystalline FeTeNF2 at its relaxed geometry from the Alexandria database. Energies are from GGA+U.

Values from the calculation:
The value obtained for the raw total energy is -0.346 Ry per atom. The calculation puts the magnetization at 4.61 μB/cell.

Lattice parameters (Å, degrees): 3.742 3.742 5.523 90.00 90.00 90.00
Site moments in Bohr magnetons follow the coordinates.
Sites, in units of the cell vectors:
N 0.000 0.000 0.500  0.24
Te 0.500 0.500 0.500  -0.01
Fe 0.000 0.000 0.000  4.08
F 0.000 0.500 0.000  0.10
F 0.500 0.000 0.000  0.10